VCdAgI2 PBE optimized geometry; formation energy from raw total energies = 0.70 eV/atom; E = -2.50 eV per atom
1.0
5.686 0.000 0.000
0.000 5.686 0.000
0.000 0.000 5.378
V Cd Ag I
1 1 1 2
direct
0.000 0.000 0.000
0.500 0.500 0.000
0.000 0.000 0.500
0.000 0.500 0.500
0.500 0.000 0.500